8
Lattice="1.539 0.889 10.019 -1.539 0.889 10.019 0.000 -1.778 10.019" Properties=species:S:1:pos:R:3 comment="MgFe3O4 PBE with a Hubbard U relaxed" total_magnetization_mub_per_fu=12.002 polymorph_energy_mev_per_atom=117.1 e_tot_ev_per_cell=-51.00 pbc="T T T"
Mg 0.000 0.000 0.000
Fe 0.000 0.000 7.547
Fe 0.000 0.000 15.029
Fe 0.000 0.000 22.511
O 0.000 0.000 3.737
O 0.000 0.000 11.213
O 0.000 0.000 18.844
O 0.000 0.000 26.321